First-principles (PBE) data for a relaxed structure of LiMnPS2, as listed in Alexandria.

Calculated values
- Formation energy (no corrections): -0.236 eV per formula unit
- Symmetry: P4/mmm (123)
- Size of the total moment: 2.47 μB/f.u.

Cell lengths 4.6626, 4.6626, 4.3878 Å; angles 90.00, 90.00, 90.00 degrees
Site moments in Bohr magnetons follow the coordinates.
Fractional coordinates of all 5 atoms:
P (0.0000, 0.0000, 0.5000)  -0.24
S (0.0000, 0.5000, 0.0000)  0.06
S (0.5000, 0.0000, 0.0000)  0.06
Mn (0.0000, 0.0000, 0.0000)  2.57
Li (0.5000, 0.5000, 0.5000)  0.01